The following is a SCAN calculation of a PBEsol-optimized structure of CaMn2Be, from the Alexandria database.

Properties
The calculation puts the energy of formation from the pure elements at 104 kJ/mol of formula units. The space group is Immm, No. 71. As for the total energy: -12.361 eV per atom.

```
CaMn2Be
1.0
-1.430 2.351 4.539
1.430 -2.351 4.539
1.430 2.351 -4.539
Ca Mn Be
1 2 1
direct
0.000 0.000 0.000 Ca
0.295 0.795 0.500 Mn
0.705 0.205 0.500 Mn
0.500 0.500 0.000 Be
```

The following is a SCAN calculation of a PBEsol-optimized structure of TlI3F, from the Alexandria database.

Properties
The space group is Pm-3m, No. 221. As for the total energy: -37.088 eV per atom.

```
TlI3F
1.0
5.878 0.000 0.000
0.000 5.878 0.000
0.000 0.000 5.878
Tl I F
1 3 1
direct
0.000 0.000 0.000 Tl
0.000 0.000 0.500 I
0.000 0.500 0.000 I
0.500 0.000 0.000 I
0.500 0.500 0.500 F
```